# Zr2NiAs

A relaxed Zr2NiAs crystal (PBE, Alexandria via LeMat-Bulk).

## Properties
Magnetic moment ... 0.000 μB/atom
DFT total energy ... -7.45 eV per atom
Formation energy from the elements ... -0.567 eV/atom

Unit cell a=4.608 b=4.608 c=3.405 alpha=89.99 beta=89.99 gamma=102.41
Fractional coordinates of all 4 atoms:
Zr: 0.500 0.500 0.000
Zr: 0.000 0.000 0.000
As: 0.500 0.000 0.500
Ni: 0.000 0.500 0.500

---

# Ca2Ag3Au2

A relaxed Ca2Ag3Au2 crystal (PBE, Alexandria via LeMat-Bulk).

## Properties
Magnetic moment ... 0.000 μB/atom
DFT total energy ... -3.17 eV per atom
Formation energy from the elements ... -0.435 eV/atom
Energy relative to the lowest polymorph listed for this composition ... 0.0194 eV/atom

Unit cell a=4.176 b=5.562 c=7.296 alpha=93.85 beta=90.00 gamma=112.05
Fractional coordinates of all 7 atoms:
Ca: 0.617 0.233 0.321
Ca: 0.383 0.767 0.679
Ag: 0.692 0.383 0.888
Ag: 0.000 0.000 0.000
Ag: 0.308 0.617 0.112
Au: 0.097 0.193 0.644
Au: 0.903 0.807 0.356

---

# Nb3Tc4Mo

A relaxed Nb3Tc4Mo crystal (PBE, Alexandria via LeMat-Bulk).

## Properties
Magnetic moment ... 0.000 μB/atom
DFT total energy ... -10.55 eV per atom
Formation energy from the elements ... -0.233 eV/atom

Unit cell a=3.174 b=3.174 c=12.723 alpha=90.00 beta=90.00 gamma=90.00
Fractional coordinates of all 8 atoms:
Nb: 0.500 0.500 0.249
Nb: 0.500 0.500 0.500
Nb: 0.500 0.500 0.751
Tc: 0.000 0.000 0.122
Tc: 0.000 0.000 0.626
Tc: 0.000 0.000 0.374
Tc: 0.000 0.000 0.878
Mo: 0.500 0.500 0.000